(1)
A plane-wave DFT calculation with PBE was carried out for crystalline Li2Zn5Pd5 at its relaxed geometry.

The calculation puts the density of states at the Fermi level at 3.95 states/eV/f.u. As for the calculated total energy: -3.482 eV per atom.

a b c (Å): 11.808 3.694 8.926
angles (deg): 90.00 117.37 90.00
Space group C2/m (No. 12)
Unique sites:
1 Li 0.077 0.000 0.253 x4
2 Zn 0.000 0.000 0.500 x2
3 Zn 0.161 0.000 0.999 x4
4 Zn 0.245 0.500 0.265 x4
5 Pd 0.000 0.500 0.000 x2
6 Pd 0.100 0.500 0.762 x4
7 Pd 0.158 0.500 0.494 x4


(2)
A plane-wave DFT calculation with PBE was carried out for crystalline Li5Zn4Pd2 at its relaxed geometry.

The calculation puts the density of states at the Fermi level at 4.10 states/eV/f.u. As for the calculated total energy: -2.538 eV per atom.

a b c (Å): 9.383 4.835 7.277
angles (deg): 90.00 90.79 90.00
Space group C2/m (No. 12)
Unique sites:
1 Li 0.000 0.000 0.000 x2
2 Li 0.049 0.254 0.686 x8
3 Zn 0.172 0.500 0.057 x4
4 Zn 0.200 0.500 0.413 x4
5 Pd 0.199 0.000 0.256 x4


(3)
A plane-wave DFT calculation with PBE was carried out for crystalline Li4Zn2Pd3 at its relaxed geometry.

The calculation puts the density of states at the Fermi level at 1.89 states/eV/f.u. The energy above the most stable polymorph in this dataset comes out at 0.18 eV per formula unit.

a b c (Å): 11.708 3.673 6.375
angles (deg): 90.00 110.31 90.00
Space group C2/m (No. 12)
Unique sites:
1 Li 0.049 0.000 0.334 x4
2 Li 0.219 0.500 0.328 x4
3 Zn 0.164 0.000 0.997 x4
4 Pd 0.000 0.500 0.000 x2
5 Pd 0.118 0.500 0.675 x4


(4)
A plane-wave DFT calculation with PBE was carried out for crystalline Li12Zn2Pd at its relaxed geometry.

The calculation puts the density of states at the Fermi level at 7.54 states/eV/f.u. As for the calculated total energy: -1.974 eV per atom.

a b c (Å): 5.412 5.412 19.524
angles (deg): 90.00 90.00 90.00
Space group P4/nbm (No. 125, origin choice 2)
Unique sites:
1 Li 0.000 0.000 0.083 x8
2 Li 0.067 0.567 0.436 x8
3 Li 0.250 0.250 0.196 x4
4 Li 0.250 0.250 0.323 x4
5 Zn 0.250 0.750 0.243 x4
6 Pd 0.250 0.750 0.000 x2


(5)
A plane-wave DFT calculation with PBE was carried out for crystalline Li2ZnPd2 at its relaxed geometry.

The calculation puts the density of states at the Fermi level at 1.12 states/eV/f.u. The energy above the most stable polymorph in this dataset comes out at 0.00 eV per formula unit.

a b c (Å): 7.387 4.289 5.116
angles (deg): 90.00 118.38 90.00
Space group C2/m (No. 12)
Unique sites:
1 Li 0.199 0.000 0.098 x4
2 Zn 0.000 0.000 0.500 x2
3 Pd 0.104 0.500 0.312 x4


(6)
A plane-wave DFT calculation with PBE was carried out for crystalline LiZn2Pd4 at its relaxed geometry.

The calculation puts the density of states at the Fermi level at 3.86 states/eV/f.u. The energy above the most stable polymorph in this dataset comes out at 0.31 eV per formula unit.

a b c (Å): 5.932 5.932 6.072
angles (deg): 90.00 90.00 90.00
Space group I4/mmm (No. 139)
Unique sites:
1 Li 0.000 0.000 0.000 x2
2 Zn 0.000 0.500 0.000 x4
3 Pd 0.250 0.250 0.250 x8


(7)
A plane-wave DFT calculation with PBE was carried out for crystalline Li4Zn2Pd at its relaxed geometry.

The calculation puts the density of states at the Fermi level at 2.28 states/eV/f.u. The energy above the most stable polymorph in this dataset comes out at 0.32 eV per formula unit.

a b c (Å): 6.388 6.388 5.023
angles (deg): 90.00 90.00 90.00
Space group I4/mmm (No. 139)
Unique sites:
1 Li 0.203 0.203 0.000 x8
2 Zn 0.000 0.500 0.250 x4
3 Pd 0.000 0.000 0.500 x2


(8)
A plane-wave DFT calculation with PBE was carried out for crystalline Li2Zn3Pd3 at its relaxed geometry.

The calculation puts the density of states at the Fermi level at 2.93 states/eV/f.u. As for the calculated total energy: -3.276 eV per atom.

a b c (Å): 12.669 4.248 4.497
angles (deg): 90.00 110.71 90.00
Space group C2/m (No. 12)
Unique sites:
1 Li 0.249 0.000 0.248 x4
2 Zn 0.000 0.500 0.500 x2
3 Zn 0.132 0.500 0.133 x4
4 Pd 0.000 0.000 0.000 x2
5 Pd 0.134 0.000 0.633 x4


(9)
A plane-wave DFT calculation with PBE was carried out for crystalline LiZn2Pd4 at its relaxed geometry.

The calculation puts the density of states at the Fermi level at 2.32 states/eV/f.u. The energy above the most stable polymorph in this dataset comes out at 0.00 eV per formula unit.

a b c (Å): 5.904 6.280 6.304
angles (deg): 72.32 70.53 72.34
Space group P1 (No. 1)
Unique sites:
1 Li 0.000 0.000 0.000 x1
2 Li 0.406 0.922 0.195 x1
3 Zn 0.155 0.576 0.290 x1
4 Zn 0.248 0.364 0.917 x1
5 Zn 0.311 0.119 0.578 x1
6 Zn 0.562 0.494 0.488 x1
7 Pd 0.130 0.775 0.611 x1
8 Pd 0.439 0.709 0.875 x1
9 Pd 0.569 0.286 0.162 x1
10 Pd 0.657 0.079 0.775 x1
11 Pd 0.734 0.854 0.428 x1
12 Pd 0.827 0.641 0.061 x1
13 Pd 0.903 0.413 0.716 x1
14 Pd 0.989 0.209 0.335 x1


(10)
A plane-wave DFT calculation with PBE was carried out for crystalline Li2Zn5Pd12 at its relaxed geometry.

The calculation puts the density of states at the Fermi level at 7.89 states/eV/f.u. As for the calculated total energy: -4.123 eV per atom.

a b c (Å): 11.783 7.637 6.389
angles (deg): 90.00 90.33 90.00
Space group C2/m (No. 12)
Unique sites:
1 Li 0.000 0.192 0.000 x4
2 Zn 0.000 0.500 0.500 x2
3 Zn 0.203 0.000 0.013 x4
4 Zn 0.234 0.500 0.432 x4
5 Pd 0.062 0.000 0.693 x4
6 Pd 0.089 0.500 0.128 x4
7 Pd 0.127 0.196 0.341 x8
8 Pd 0.144 0.322 0.756 x8


(11)
A plane-wave DFT calculation with PBE was carried out for crystalline LiZn2Pd at its relaxed geometry.

The calculation puts the density of states at the Fermi level at 1.25 states/eV/f.u. The energy above the most stable polymorph in this dataset comes out at 1.20 eV per formula unit.

a b c (Å): 3.693 3.693 18.315
angles (deg): 90.00 90.00 90.00
Space group I-42d (No. 122)
Unique sites:
1 Li 0.000 0.000 0.000 x4
2 Zn 0.243 0.250 0.625 x8
3 Pd 0.000 0.000 0.500 x4


(12)
A plane-wave DFT calculation with PBE was carried out for crystalline Li7ZnPd3 at its relaxed geometry.

The calculation puts the density of states at the Fermi level at 3.30 states/eV/f.u. As for the calculated total energy: -3.053 eV per atom.

a b c (Å): 2.752 20.809 12.194
angles (deg): 90.00 90.00 90.00
Space group Cmcm (No. 63)
Unique sites:
1 Li 0.000 0.058 0.133 x8
2 Li 0.000 0.095 0.588 x8
3 Li 0.000 0.188 0.250 x4
4 Li 0.000 0.220 0.596 x8
5 Zn 0.000 0.467 0.250 x4
6 Pd 0.000 0.342 0.565 x8
7 Pd 0.000 0.343 0.250 x4